# 1
DFT (GGA-PBE) results for Li2Zr2In2IrPt after structural relaxation.

Values from the calculation:
total DFT energy (no corrections)	-0.4276	Ry per atom

```
data_Li2Zr2In2IrPt
_chemical_formula_sum 'Li2 Zr2 In2 Ir1 Pt1'
_symmetry_space_group_name_H-M 'P -4 m 2'
_symmetry_Int_Tables_number 115
_symmetry_space_group_name_Hall 'P -4 -2'
_cell_length_a 4.620
_cell_length_b 4.620
_cell_length_c 6.533
_cell_angle_alpha 90.00
_cell_angle_beta 90.00
_cell_angle_gamma 90.00
loop_
_atom_site_label
_atom_site_type_symbol
_atom_site_fract_x
_atom_site_fract_y
_atom_site_fract_z
Li1 Li 0.000 0.000 0.000
Li2 Li 0.500 0.500 0.500
Zr1 Zr 0.000 0.500 0.746
In1 In 0.000 0.500 0.253
Ir1 Ir 0.000 0.000 0.500
Pt1 Pt 0.500 0.500 0.000
```

# 2
DFT (GGA-PBE) results for YScTlNi after structural relaxation.

Values from the calculation:
total DFT energy (no corrections)	-0.3830	Ry per atom

```
data_YScTlNi
_chemical_formula_sum 'Y4 Sc4 Tl4 Ni4'
_symmetry_space_group_name_H-M 'F -4 3 m'
_symmetry_Int_Tables_number 216
_symmetry_space_group_name_Hall 'F -4 2 3'
_cell_length_a 6.904
_cell_length_b 6.904
_cell_length_c 6.904
_cell_angle_alpha 90.00
_cell_angle_beta 90.00
_cell_angle_gamma 90.00
loop_
_atom_site_label
_atom_site_type_symbol
_atom_site_fract_x
_atom_site_fract_y
_atom_site_fract_z
Y1 Y 0.000 0.000 0.000
Sc1 Sc 0.250 0.250 0.250
Tl1 Tl 0.000 0.000 0.500
Ni1 Ni 0.250 0.250 0.750
```

# 3
DFT (GGA-PBE) results for YTmPb after structural relaxation.

Values from the calculation:
total DFT energy (no corrections)	-0.3724	Ry per atom

```
data_YTmPb
_chemical_formula_sum 'Y4 Tm4 Pb4'
_symmetry_space_group_name_H-M 'F -4 3 m'
_symmetry_Int_Tables_number 216
_symmetry_space_group_name_Hall 'F -4 2 3'
_cell_length_a 7.260
_cell_length_b 7.260
_cell_length_c 7.260
_cell_angle_alpha 90.00
_cell_angle_beta 90.00
_cell_angle_gamma 90.00
loop_
_atom_site_label
_atom_site_type_symbol
_atom_site_fract_x
_atom_site_fract_y
_atom_site_fract_z
Y1 Y 0.000 0.000 0.000
Tm1 Tm 0.000 0.000 0.500
Pb1 Pb 0.250 0.250 0.750
```

# 4
DFT (GGA-PBE) results for SmAgPO after structural relaxation.

Values from the calculation:
total DFT energy (no corrections)	-0.4179	Ry per atom

```
data_SmAgPO
_chemical_formula_sum 'Sm2 Ag2 P2 O2'
_symmetry_space_group_name_H-M 'P m c 21'
_symmetry_Int_Tables_number 26
_symmetry_space_group_name_Hall 'P 2c -2'
_cell_length_a 3.812
_cell_length_b 7.655
_cell_length_c 5.896
_cell_angle_alpha 90.00
_cell_angle_beta 90.00
_cell_angle_gamma 90.00
loop_
_atom_site_label
_atom_site_type_symbol
_atom_site_fract_x
_atom_site_fract_y
_atom_site_fract_z
Sm1 Sm 0.000 0.217 0.000
Ag1 Ag 0.500 0.353 0.506
P1 P 0.000 0.157 0.500
O1 O 0.500 0.353 0.998
```

# 5
DFT (GGA-PBE) results for KLiTcIr after structural relaxation.

Values from the calculation:
total DFT energy (no corrections)	-0.2998	Ry per atom

```
data_KLiTcIr
_chemical_formula_sum 'K4 Li4 Tc4 Ir4'
_symmetry_space_group_name_H-M 'F -4 3 m'
_symmetry_Int_Tables_number 216
_symmetry_space_group_name_Hall 'F -4 2 3'
_cell_length_a 6.646
_cell_length_b 6.646
_cell_length_c 6.646
_cell_angle_alpha 90.00
_cell_angle_beta 90.00
_cell_angle_gamma 90.00
loop_
_atom_site_label
_atom_site_type_symbol
_atom_site_fract_x
_atom_site_fract_y
_atom_site_fract_z
K1 K 0.000 0.000 0.000
Li1 Li 0.000 0.000 0.500
Tc1 Tc 0.250 0.250 0.750
Ir1 Ir 0.250 0.250 0.250
```

# 6
DFT (GGA-PBE) results for Nd3Gd2HoCoSe2 after structural relaxation.

Values from the calculation:
total DFT energy (no corrections)	-0.4034	Ry per atom

```
data_Nd3Gd2HoCoSe2
_chemical_formula_sum 'Nd6 Gd4 Ho2 Co2 Se4'
_symmetry_space_group_name_H-M 'A m m 2'
_symmetry_Int_Tables_number 38
_symmetry_space_group_name_Hall 'A 2 -2'
_cell_length_a 3.887
_cell_length_b 14.260
_cell_length_c 8.257
_cell_angle_alpha 90.00
_cell_angle_beta 90.00
_cell_angle_gamma 90.00
loop_
_atom_site_label
_atom_site_type_symbol
_atom_site_fract_x
_atom_site_fract_y
_atom_site_fract_z
Nd1 Nd 0.000 0.000 0.000
Nd2 Nd 0.000 0.207 0.623
Gd1 Gd 0.500 0.119 0.297
Ho1 Ho 0.500 0.000 0.654
Co1 Co 0.000 0.000 0.420
Se1 Se 0.500 0.166 0.915
```

# 7
DFT (GGA-PBE) results for KLuPdS3 after structural relaxation.

Values from the calculation:
total DFT energy (no corrections)	-0.3715	Ry per atom

```
data_KLuPdS3
_chemical_formula_sum 'K4 Lu4 Pd4 S12'
_symmetry_space_group_name_H-M 'C m c m'
_symmetry_Int_Tables_number 63
_symmetry_space_group_name_Hall '-C 2c 2'
_cell_length_a 3.901
_cell_length_b 14.756
_cell_length_c 9.927
_cell_angle_alpha 90.00
_cell_angle_beta 90.00
_cell_angle_gamma 90.00
loop_
_atom_site_label
_atom_site_type_symbol
_atom_site_fract_x
_atom_site_fract_y
_atom_site_fract_z
K1 K 0.000 0.247 0.250
Lu1 Lu 0.000 0.000 0.000
Pd1 Pd 0.000 0.482 0.750
S1 S 0.000 0.079 0.750
S2 S 0.000 0.380 0.563
```

# 8
DFT (GGA-PBE) results for HfAgNO after structural relaxation.

Values from the calculation:
total DFT energy (no corrections)	-0.5750	Ry per atom

```
data_HfAgNO
_chemical_formula_sum 'Hf2 Ag2 N2 O2'
_symmetry_space_group_name_H-M 'P m c 21'
_symmetry_Int_Tables_number 26
_symmetry_space_group_name_Hall 'P 2c -2'
_cell_length_a 3.613
_cell_length_b 5.984
_cell_length_c 5.714
_cell_angle_alpha 90.00
_cell_angle_beta 90.00
_cell_angle_gamma 90.00
loop_
_atom_site_label
_atom_site_type_symbol
_atom_site_fract_x
_atom_site_fract_y
_atom_site_fract_z
Hf1 Hf 0.000 0.182 0.000
Ag1 Ag 0.500 0.282 0.506
N1 N 0.000 0.118 0.345
O1 O 0.500 0.322 0.931
```

no.,ρ (Mg/m³)
1,9.7
2,8.0
3,8.1
4,5.9
5,7.6
6,8.2
7,4.8
8,8.5